# 1
Below is a relaxed structure of K2HgH, with properties calculated at the GGA-PBE level.

a b c (Å): 3.961 3.961 9.299
angles (deg): 77.70 77.70 60.00
Fractional positions:
H  0.000  0.000  0.000
K  0.728  0.728  0.815
K  0.272  0.272  0.185
Hg  0.500  0.500  0.500

ρ   3.793 g cm⁻³
Size of the total moment   0.00 μB per formula unit
Excess energy over the best structure of this formula in the dataset   0.0 meV per atom
Space group   No. 166
Density of states at the Fermi level   1.75 states/eV per cell

***

# 2
Below is a relaxed structure of KHgH2, with properties calculated at the GGA-PBE level.

a b c (Å): 5.157 5.157 6.862
angles (deg): 67.93 67.93 90.00
Fractional positions:
H  0.771  0.125  0.250
H  0.979  0.625  0.250
H  0.375  0.229  0.750
H  0.875  0.021  0.750
K  0.500  0.500  0.000
K  0.250  0.750  0.500
Hg  0.000  0.000  0.000
Hg  0.750  0.250  0.500

ρ   5.192 g cm⁻³
Size of the total moment   0.00 μB per formula unit
Excess energy over the best structure of this formula in the dataset   0.0 meV per atom
Space group   No. 122
Density of states at the Fermi level   0.63 states/eV per cell

***

# 3
Below is a relaxed structure of K2HgH2, with properties calculated at the GGA-PBE level.

a b c (Å): 5.002 5.002 6.678
angles (deg): 68.00 68.00 90.00
Fractional positions:
H  0.750  0.250  0.500
H  0.250  0.750  0.500
K  0.321  0.321  0.358
K  0.679  0.679  0.642
Hg  0.000  0.000  0.000

ρ   3.290 g cm⁻³
Size of the total moment   0.00 μB per formula unit
Excess energy over the best structure of this formula in the dataset   10.4 meV per atom
Space group   No. 139
Density of states at the Fermi level   0.00 states/eV per cell

***

Please write out number 1 again, unchanged.
Below is a relaxed structure of K2HgH, with properties calculated at the GGA-PBE level.

a b c (Å): 3.961 3.961 9.299
angles (deg): 77.70 77.70 60.00
Fractional positions:
H  0.000  0.000  0.000
K  0.728  0.728  0.815
K  0.272  0.272  0.185
Hg  0.500  0.500  0.500

ρ   3.793 g cm⁻³
Size of the total moment   0.00 μB per formula unit
Excess energy over the best structure of this formula in the dataset   0.0 meV per atom
Space group   No. 166
Density of states at the Fermi level   1.75 states/eV per cell